Material: Np4PbS8
Method: DFT, PBE
State: optimized geometry

Output
Symmetry   No. 12
Offset from the most stable computed form   0.0 meV/atom
E_form (uncorrected)   -115 kJ/mol of atoms
Total magnetization   14.0 μB per formula unit

The structure in CIF format:
```
data_Np4PbS8
_symmetry_space_group_name_H-M 'P 1'
_symmetry_Int_Tables_number 1
_symmetry_space_group_name_Hall 'P 1'
_cell_length_a 8.0325
_cell_length_b 8.0325
_cell_length_c 8.0162
_cell_angle_alpha 103.82
_cell_angle_beta 105.37
_cell_angle_gamma 119.81
loop_
_atom_site_label
_atom_site_fract_x
_atom_site_fract_y
_atom_site_fract_z
_atom_site_occupancy
Np1 0.2464 0.2464 0.0000 1
Np2 0.7536 0.7536 0.0000 1
Np3 0.2690 0.7716 0.0405 1
Np4 0.7310 0.2284 0.9595 1
Pb1 0.0000 0.5000 0.5000 1
S1 0.7044 0.0373 0.2048 1
S2 0.1675 0.5004 0.2048 1
S3 0.6868 0.5014 0.1882 1
S4 0.1845 0.0269 0.2113 1
S5 0.8155 0.9731 0.7887 1
S6 0.3132 0.4986 0.8118 1
S7 0.8325 0.4996 0.7952 1
S8 0.2956 0.9627 0.7952 1
```

---

Material: YAg
Method: DFT, PBE
State: optimized geometry

Output
Symmetry   No. 166
ΔH_f (0 K)   -34 meV/atom
Total magnetization   0.0 μB per formula unit

The structure in CIF format:
```
data_YAg
_symmetry_space_group_name_H-M 'P 1'
_symmetry_Int_Tables_number 1
_symmetry_space_group_name_Hall 'P 1'
_cell_length_a 4.7942
_cell_length_b 4.7942
_cell_length_c 15.5138
_cell_angle_alpha 90.00
_cell_angle_beta 90.00
_cell_angle_gamma 60.00
loop_
_atom_site_label
_atom_site_fract_x
_atom_site_fract_y
_atom_site_fract_z
_atom_site_occupancy
Y1 0.0000 0.0000 0.8985 1
Y2 0.0000 0.0000 0.1015 1
Y3 0.3333 0.3333 0.5653 1
Y4 0.3333 0.3333 0.7683 1
Y5 0.6667 0.6667 0.2317 1
Y6 0.6667 0.6667 0.4347 1
Ag1 0.0000 0.0000 0.6775 1
Ag2 0.0000 0.0000 0.3225 1
Ag3 0.3333 0.3333 0.3436 1
Ag4 0.3333 0.3333 0.9895 1
Ag5 0.6667 0.6667 0.0105 1
Ag6 0.6667 0.6667 0.6564 1
```

---

Material: AlTeP2O
Method: DFT, PBE
State: optimized geometry

Output
Symmetry   No. 123
Offset from the most stable computed form   794.7 meV/atom
E_form (uncorrected)   51 kJ/mol of atoms
Total magnetization   0.0 μB per formula unit

The structure in CIF format:
```
data_AlTeP2O
_symmetry_space_group_name_H-M 'P 1'
_symmetry_Int_Tables_number 1
_symmetry_space_group_name_Hall 'P 1'
_cell_length_a 5.1014
_cell_length_b 5.1014
_cell_length_c 3.9300
_cell_angle_alpha 90.00
_cell_angle_beta 90.00
_cell_angle_gamma 90.00
loop_
_atom_site_label
_atom_site_fract_x
_atom_site_fract_y
_atom_site_fract_z
_atom_site_occupancy
P1 0.0000 0.5000 0.0000 1
P2 0.5000 0.0000 0.0000 1
Te1 0.0000 0.0000 0.0000 1
Al1 0.5000 0.5000 0.5000 1
O1 0.0000 0.0000 0.5000 1
```

---

Material: PrPuGeAu
Method: DFT, PBE
State: optimized geometry

Output
Symmetry   No. 216
ΔH_f (0 K)   -537 meV/atom
Total magnetization   6.2 μB per formula unit

The structure in CIF format:
```
data_PrPuGeAu
_symmetry_space_group_name_H-M 'P 1'
_symmetry_Int_Tables_number 1
_symmetry_space_group_name_Hall 'P 1'
_cell_length_a 5.2150
_cell_length_b 5.2150
_cell_length_c 5.2150
_cell_angle_alpha 60.00
_cell_angle_beta 60.00
_cell_angle_gamma 60.00
loop_
_atom_site_label
_atom_site_fract_x
_atom_site_fract_y
_atom_site_fract_z
_atom_site_occupancy
Pr1 0.2500 0.2500 0.2500 1
Ge1 0.5000 0.5000 0.5000 1
Au1 0.0000 0.0000 0.0000 1
Pu1 0.7500 0.7500 0.7500 1
```

---

Material: NiAu3S
Method: DFT, PBE
State: optimized geometry

Output
Symmetry   No. 221
Offset from the most stable computed form   0.0 meV/atom
E_form (uncorrected)   83 kJ/mol of atoms
Total magnetization   0.0 μB per formula unit

The structure in CIF format:
```
data_NiAu3S
_symmetry_space_group_name_H-M 'P 1'
_symmetry_Int_Tables_number 1
_symmetry_space_group_name_Hall 'P 1'
_cell_length_a 4.7220
_cell_length_b 4.7220
_cell_length_c 4.7220
_cell_angle_alpha 90.00
_cell_angle_beta 90.00
_cell_angle_gamma 90.00
loop_
_atom_site_label
_atom_site_fract_x
_atom_site_fract_y
_atom_site_fract_z
_atom_site_occupancy
Ni1 0.5000 0.5000 0.5000 1
S1 0.0000 0.0000 0.0000 1
Au1 0.0000 0.5000 0.0000 1
Au2 0.0000 0.0000 0.5000 1
Au3 0.5000 0.0000 0.0000 1
```

---

Material: BiRu
Method: DFT, PBE
State: optimized geometry

Output
Symmetry   No. 194
ΔH_f (0 K)   788 meV/atom
Total magnetization   0.0 μB per formula unit

The structure in CIF format:
```
data_BiRu
_symmetry_space_group_name_H-M 'P 1'
_symmetry_Int_Tables_number 1
_symmetry_space_group_name_Hall 'P 1'
_cell_length_a 4.6695
_cell_length_b 4.6695
_cell_length_c 5.4536
_cell_angle_alpha 90.00
_cell_angle_beta 90.00
_cell_angle_gamma 120.00
loop_
_atom_site_label
_atom_site_fract_x
_atom_site_fract_y
_atom_site_fract_z
_atom_site_occupancy
Bi1 0.3333 0.6667 0.7500 1
Bi2 0.6667 0.3333 0.2500 1
Ru1 0.3333 0.6667 0.2500 1
Ru2 0.6667 0.3333 0.7500 1
```

---

Material: ErTmPd2
Method: DFT, PBE
State: optimized geometry

Output
Symmetry   No. 166
Offset from the most stable computed form   194.0 meV/atom
ΔH_f (0 K)   -755 meV/atom
Total magnetization   0.0 μB per formula unit

The structure in CIF format:
```
data_ErTmPd2
_symmetry_space_group_name_H-M 'P 1'
_symmetry_Int_Tables_number 1
_symmetry_space_group_name_Hall 'P 1'
_cell_length_a 4.0430
_cell_length_b 4.0430
_cell_length_c 6.9756
_cell_angle_alpha 73.15
_cell_angle_beta 73.15
_cell_angle_gamma 60.00
loop_
_atom_site_label
_atom_site_fract_x
_atom_site_fract_y
_atom_site_fract_z
_atom_site_occupancy
Tm1 0.5000 0.5000 0.5000 1
Pd1 0.7507 0.7507 0.7480 1
Pd2 0.2493 0.2493 0.2520 1
Er1 0.0000 0.0000 0.0000 1
```

---

Material: Pm3ErIn3Te8
Method: DFT, PBE
State: optimized geometry

Output
Symmetry   No. 166
E_form (uncorrected)   -98 kJ/mol of atoms
Total magnetization   0.0 μB per formula unit

The structure in CIF format:
```
data_Pm3ErIn3Te8
_symmetry_space_group_name_H-M 'P 1'
_symmetry_Int_Tables_number 1
_symmetry_space_group_name_Hall 'P 1'
_cell_length_a 8.8963
_cell_length_b 8.8941
_cell_length_c 9.4245
_cell_angle_alpha 118.16
_cell_angle_beta 90.00
_cell_angle_gamma 120.01
loop_
_atom_site_label
_atom_site_fract_x
_atom_site_fract_y
_atom_site_fract_z
_atom_site_occupancy
Pm1 0.5000 0.0000 0.5000 1
Pm2 0.5000 0.5000 0.5000 1
Pm3 0.0000 0.5000 0.5000 1
Er1 0.0000 0.0000 0.5000 1
In1 0.0000 0.0000 0.0000 1
In2 0.0000 0.5000 0.0000 1
In3 0.5000 0.5000 0.0000 1
Te1 0.2555 0.5111 0.2666 1
Te2 0.7445 0.4889 0.7334 1
Te3 0.7613 0.5226 0.2730 1
Te4 0.2387 0.4774 0.7270 1
Te5 0.7613 0.0115 0.2730 1
Te6 0.2387 0.9885 0.7270 1
Te7 0.2501 0.0115 0.2730 1
Te8 0.7499 0.9885 0.7270 1
```

---

Number 1: VASP energy -7.996 eV/atom. Number 2: VASP energy -4.691 eV/atom. Number 3: VASP energy -4.000 eV/atom. Number 4: VASP energy -7.288 eV/atom. Number 5: VASP energy -3.093 eV/atom. Number 6: VASP energy -5.790 eV/atom. Number 7: VASP energy -5.610 eV/atom. Number 8: VASP energy -4.494 eV/atom.